[1]
# PBE ErInAu, relaxed
# E, eV for the cell shown: -38.34
# SG: P-62m
data_ErInAu
_cell_length_a 7.7229
_cell_length_b 7.7229
_cell_length_c 3.9346
_cell_angle_alpha 90.00
_cell_angle_beta 90.00
_cell_angle_gamma 120.00
_symmetry_space_group_name_H-M 'P 1'
_symmetry_Int_Tables_number 1
loop_
_symmetry_equiv_pos_as_xyz
'x,y,z'
loop_
_atom_site_label
_atom_site_fract_x
_atom_site_fract_y
_atom_site_fract_z
_atom_site_occupancy
Er1 0.0000 0.5958 0.0000 1
Er2 0.4042 0.4042 0.0000 1
Er3 0.5958 0.0000 0.0000 1
In1 0.0000 0.2633 0.5000 1
In2 0.2633 0.0000 0.5000 1
In3 0.7367 0.7367 0.5000 1
Au1 0.0000 0.0000 0.0000 1
Au2 0.3333 0.6667 0.5000 1
Au3 0.6667 0.3333 0.5000 1

[2]
# PBE SmTmPO, relaxed
# Offset from the most stable computed form, eV/f.u.: 0.00
# E, eV for the cell shown: -55.88
# SG: R-3m
data_SmTmPO
_cell_length_a 12.9897
_cell_length_b 12.9897
_cell_length_c 12.9897
_cell_angle_alpha 17.42
_cell_angle_beta 17.42
_cell_angle_gamma 17.42
_symmetry_space_group_name_H-M 'P 1'
_symmetry_Int_Tables_number 1
loop_
_symmetry_equiv_pos_as_xyz
'x,y,z'
loop_
_atom_site_label
_atom_site_fract_x
_atom_site_fract_y
_atom_site_fract_z
_atom_site_occupancy
Sm1 0.1283 0.1283 0.1283 1
Sm2 0.8717 0.8717 0.8717 1
Tm1 0.2933 0.2933 0.2933 1
Tm2 0.7067 0.7067 0.7067 1
P1 0.4092 0.4092 0.4092 1
P2 0.5908 0.5908 0.5908 1
O1 0.1896 0.1896 0.1896 1
O2 0.8104 0.8104 0.8104 1

[3]
# PBE Cs2Rb2CdAs2, relaxed
# Offset from the most stable computed form, eV/f.u.: 0.00
# E, eV for the cell shown: -16.75
# SG: R-3m
data_Cs2Rb2CdAs2
_cell_length_a 10.5220
_cell_length_b 10.5220
_cell_length_c 10.5220
_cell_angle_alpha 34.24
_cell_angle_beta 34.24
_cell_angle_gamma 34.24
_symmetry_space_group_name_H-M 'P 1'
_symmetry_Int_Tables_number 1
loop_
_symmetry_equiv_pos_as_xyz
'x,y,z'
loop_
_atom_site_label
_atom_site_fract_x
_atom_site_fract_y
_atom_site_fract_z
_atom_site_occupancy
Cs1 0.2083 0.2083 0.2083 1
Cs2 0.7917 0.7917 0.7917 1
Rb1 0.3851 0.3851 0.3851 1
Rb2 0.6149 0.6149 0.6149 1
Cd1 0.0000 0.0000 0.0000 1
As1 0.0848 0.0848 0.0848 1
As2 0.9152 0.9152 0.9152 1

[4]
# PBE AlCdFeSe4, relaxed
# Offset from the most stable computed form, eV/f.u.: 0.56
# E, eV for the cell shown: -119.31
# SG: P4_122
data_AlCdFeSe4
_cell_length_a 7.6963
_cell_length_b 7.6963
_cell_length_c 10.8215
_cell_angle_alpha 90.00
_cell_angle_beta 90.00
_cell_angle_gamma 90.00
_symmetry_space_group_name_H-M 'P 1'
_symmetry_Int_Tables_number 1
loop_
_symmetry_equiv_pos_as_xyz
'x,y,z'
loop_
_atom_site_label
_atom_site_fract_x
_atom_site_fract_y
_atom_site_fract_z
_atom_site_occupancy
Al1 0.0000 0.2516 0.0000 1
Al2 0.0000 0.7484 0.5000 1
Al3 0.2516 0.0000 0.7500 1
Al4 0.7484 0.0000 0.2500 1
Cd1 0.2537 0.5000 0.7500 1
Cd2 0.5000 0.2537 0.0000 1
Cd3 0.5000 0.7463 0.5000 1
Cd4 0.7463 0.5000 0.2500 1
Fe1 0.2418 0.2418 0.3750 1
Fe2 0.2418 0.7582 0.1250 1
Fe3 0.7582 0.2418 0.6250 1
Fe4 0.7582 0.7582 0.8750 1
Se1 0.0091 0.2335 0.7621 1
Se2 0.0091 0.7665 0.7379 1
Se3 0.2320 0.4930 0.0092 1
Se4 0.2320 0.5070 0.4908 1
Se5 0.2335 0.0091 0.9879 1
Se6 0.2335 0.9909 0.5121 1
Se7 0.4930 0.2320 0.7408 1
Se8 0.4930 0.7680 0.7592 1
Se9 0.5070 0.2320 0.2592 1
Se10 0.5070 0.7680 0.2408 1
Se11 0.7665 0.0091 0.0121 1
Se12 0.7665 0.9909 0.4879 1
Se13 0.7680 0.4930 0.9908 1
Se14 0.7680 0.5070 0.5092 1
Se15 0.9909 0.2335 0.2379 1
Se16 0.9909 0.7665 0.2621 1

[5]
# PBE ZnIn2Se2S2, relaxed
# E, eV for the cell shown: -26.24
# SG: C2
data_ZnIn2Se2S2
_cell_length_a 6.9835
_cell_length_b 6.9835
_cell_length_c 5.6590
_cell_angle_alpha 113.27
_cell_angle_beta 113.27
_cell_angle_gamma 110.80
_symmetry_space_group_name_H-M 'P 1'
_symmetry_Int_Tables_number 1
loop_
_symmetry_equiv_pos_as_xyz
'x,y,z'
loop_
_atom_site_label
_atom_site_fract_x
_atom_site_fract_y
_atom_site_fract_z
_atom_site_occupancy
Zn1 0.0000 0.0000 0.0000 1
In1 0.2411 0.7589 0.5000 1
In2 0.4972 0.5028 0.0000 1
Se1 0.0763 0.3477 0.4786 1
Se2 0.6523 0.9237 0.5214 1
S1 0.3730 0.1277 0.0200 1
S2 0.8723 0.6270 0.9800 1

[6]
# PBE LaGdSn2, relaxed
# Offset from the most stable computed form, eV/f.u.: 0.00
# E, eV for the cell shown: -38.49
# SG: Cmcm
data_LaGdSn2
_cell_length_a 13.7577
_cell_length_b 13.7577
_cell_length_c 4.4856
_cell_angle_alpha 90.00
_cell_angle_beta 90.00
_cell_angle_gamma 161.95
_symmetry_space_group_name_H-M 'P 1'
_symmetry_Int_Tables_number 1
loop_
_symmetry_equiv_pos_as_xyz
'x,y,z'
loop_
_atom_site_label
_atom_site_fract_x
_atom_site_fract_y
_atom_site_fract_z
_atom_site_occupancy
La1 0.1586 0.8414 0.7500 1
La2 0.8414 0.1586 0.2500 1
Gd1 0.4440 0.5560 0.7500 1
Gd2 0.5560 0.4440 0.2500 1
Sn1 0.0405 0.9595 0.7500 1
Sn2 0.2454 0.7546 0.2500 1
Sn3 0.7546 0.2454 0.7500 1
Sn4 0.9595 0.0405 0.2500 1

[7]
# PBE MgZnTeO, relaxed
# Offset from the most stable computed form, eV/f.u.: 0.52
# E, eV for the cell shown: -124.44
# SG: Pbca
data_MgZnTeO
_cell_length_a 6.8125
_cell_length_b 7.9668
_cell_length_c 12.8095
_cell_angle_alpha 90.00
_cell_angle_beta 90.00
_cell_angle_gamma 90.00
_symmetry_space_group_name_H-M 'P 1'
_symmetry_Int_Tables_number 1
loop_
_symmetry_equiv_pos_as_xyz
'x,y,z'
loop_
_atom_site_label
_atom_site_fract_x
_atom_site_fract_y
_atom_site_fract_z
_atom_site_occupancy
Mg1 0.1339 0.1753 0.2204 1
Mg2 0.1339 0.3247 0.7204 1
Mg3 0.3661 0.6753 0.2204 1
Mg4 0.3661 0.8247 0.7204 1
Mg5 0.6339 0.1753 0.2796 1
Mg6 0.6339 0.3247 0.7796 1
Mg7 0.8661 0.6753 0.2796 1
Mg8 0.8661 0.8247 0.7796 1
Zn1 0.1176 0.6733 0.9363 1
Zn2 0.1176 0.8267 0.4363 1
Zn3 0.3824 0.1733 0.9363 1
Zn4 0.3824 0.3267 0.4363 1
Zn5 0.6176 0.6733 0.5637 1
Zn6 0.6176 0.8267 0.0637 1
Zn7 0.8824 0.1733 0.5637 1
Zn8 0.8824 0.3267 0.0637 1
Te1 0.2353 0.5677 0.5571 1
Te2 0.2353 0.9323 0.0571 1
Te3 0.2647 0.0677 0.5571 1
Te4 0.2647 0.4323 0.0571 1
Te5 0.7353 0.5677 0.9429 1
Te6 0.7353 0.9323 0.4429 1
Te7 0.7647 0.0677 0.9429 1
Te8 0.7647 0.4323 0.4429 1
O1 0.1376 0.7316 0.2971 1
O2 0.1376 0.7684 0.7971 1
O3 0.3624 0.2316 0.2971 1
O4 0.3624 0.2684 0.7971 1
O5 0.6376 0.7316 0.2029 1
O6 0.6376 0.7684 0.7029 1
O7 0.8624 0.2316 0.2029 1
O8 0.8624 0.2684 0.7029 1

[8]
# PBE Dy2CuSi, relaxed
# E, eV for the cell shown: -40.87
# SG: Pmn2_1
data_Dy2CuSi
_cell_length_a 4.0266
_cell_length_b 7.5136
_cell_length_c 5.7698
_cell_angle_alpha 90.00
_cell_angle_beta 90.00
_cell_angle_gamma 90.00
_symmetry_space_group_name_H-M 'P 1'
_symmetry_Int_Tables_number 1
loop_
_symmetry_equiv_pos_as_xyz
'x,y,z'
loop_
_atom_site_label
_atom_site_fract_x
_atom_site_fract_y
_atom_site_fract_z
_atom_site_occupancy
Dy1 0.0000 0.0617 0.0000 1
Dy2 0.0000 0.5882 0.7671 1
Dy3 0.5000 0.4118 0.2671 1
Dy4 0.5000 0.9383 0.5000 1
Cu1 0.0000 0.2204 0.5350 1
Cu2 0.5000 0.7796 0.0350 1
Si1 0.0000 0.7032 0.2709 1
Si2 0.5000 0.2968 0.7709 1